Entry from Alexandria: crystalline Ac2H6IrPt at its relaxed geometry (GGA-PBE).

VASP energy ... -4.844 eV per atom
Fermi-level density of states ... 0.335 states/eV per atom
Total magnetic moment ... 0.00 Bohr magnetons per cell

The structure in POSCAR format:
```
Ac2H6IrPt
1.0
3.8776 -3.9864 0.0000
3.8776 3.9864 0.0000
-3.8655 0.0000 3.9844
Ac H Ir Pt
2 6 1 1
Direct
0.2494 0.7506 0.0000 Ac
0.7506 0.2494 0.0000 Ac
0.2210 0.2210 0.9433 H
0.2221 0.7779 0.5000 H
0.2295 0.2295 0.4986 H
0.7705 0.7705 0.5014 H
0.7779 0.2221 0.5000 H
0.7790 0.7790 0.0567 H
0.0000 0.0000 0.5000 Ir
0.5000 0.5000 0.5000 Pt
```

=====

Entry from Alexandria: crystalline Ac5HIr2Rh at its relaxed geometry (GGA-PBE).

VASP energy ... -5.956 eV per atom
Fermi-level density of states ... 0.614 states/eV per atom
Total magnetic moment ... 0.00 Bohr magnetons per cell

The structure in POSCAR format:
```
Ac5HIr2Rh
1.0
2.1475 -8.9528 0.0000
2.1475 8.9528 0.0000
0.0000 0.0000 12.9396
Ac H Ir Rh
10 2 4 2
Direct
0.0001 0.9999 0.0000 Ac
0.9999 0.0001 0.5000 Ac
0.2968 0.7032 0.7420 Ac
0.3279 0.6721 0.4197 Ac
0.3295 0.6705 0.0622 Ac
0.4959 0.5041 0.7532 Ac
0.5041 0.4959 0.2532 Ac
0.6705 0.3295 0.5622 Ac
0.6721 0.3279 0.9197 Ac
0.7032 0.2968 0.2420 Ac
0.4673 0.5327 0.4324 H
0.5327 0.4673 0.9324 H
0.1171 0.8829 0.7384 Ir
0.1462 0.8538 0.3906 Ir
0.8538 0.1462 0.8906 Ir
0.8829 0.1171 0.2384 Ir
0.1545 0.8455 0.0916 Rh
0.8455 0.1545 0.5916 Rh
```

=====

Entry from Alexandria: crystalline AcSbHIr at its relaxed geometry (GGA-PBE).

VASP energy ... -5.599 eV per atom
Fermi-level density of states ... 0.796 states/eV per atom
Total magnetic moment ... 0.00 Bohr magnetons per cell

The structure in POSCAR format:
```
AcSbHIr
1.0
4.3370 0.0000 0.0000
-2.1685 3.7560 0.0000
0.0000 0.0000 11.0080
Ac Sb H Ir
2 2 2 2
Direct
0.3333 0.6667 0.0000 Ac
0.6667 0.3333 0.5000 Ac
0.3333 0.6667 0.7005 Sb
0.6667 0.3333 0.2005 Sb
0.0000 0.0000 0.4309 H
0.0000 0.0000 0.9309 H
0.0000 0.0000 0.2772 Ir
0.0000 0.0000 0.7772 Ir
```

=====

Entry from Alexandria: crystalline AcSiHIr at its relaxed geometry (GGA-PBE).

VASP energy ... -6.279 eV per atom
Fermi-level density of states ... 0.475 states/eV per atom
Total magnetic moment ... 0.00 Bohr magnetons per cell

The structure in POSCAR format:
```
AcSiHIr
1.0
4.1541 0.0000 0.0000
0.0000 4.1541 0.0000
0.0000 0.0000 8.4882
Ac Si H Ir
2 2 2 2
Direct
0.2500 0.2500 0.1741 Ac
0.7500 0.7500 0.8259 Ac
0.2500 0.2500 0.6476 Si
0.7500 0.7500 0.3524 Si
0.2500 0.7500 0.0000 H
0.7500 0.2500 0.0000 H
0.2500 0.7500 0.5000 Ir
0.7500 0.2500 0.5000 Ir
```

=====

Entry from Alexandria: crystalline AcSiHIr2 at its relaxed geometry (GGA-PBE).

VASP energy ... -6.742 eV per atom
Fermi-level density of states ... 0.685 states/eV per atom
Total magnetic moment ... 0.00 Bohr magnetons per cell

The structure in POSCAR format:
```
AcSiHIr2
1.0
2.0112 -5.6858 0.0000
2.0112 5.6858 0.0000
0.0000 0.0000 7.1342
Ac Si H Ir
2 2 2 4
Direct
0.0595 0.9405 0.7500 Ac
0.9405 0.0595 0.2500 Ac
0.2188 0.7812 0.2500 Si
0.7812 0.2188 0.7500 Si
0.5000 0.5000 0.0000 H
0.5000 0.5000 0.5000 H
0.3339 0.6661 0.5551 Ir
0.3339 0.6661 0.9449 Ir
0.6661 0.3339 0.0551 Ir
0.6661 0.3339 0.4449 Ir
```

=====

Entry from Alexandria: crystalline AcSmH6Ir2 at its relaxed geometry (GGA-PBE).

VASP energy ... -5.209 eV per atom
Fermi-level density of states ... 0.184 states/eV per atom
Total magnetic moment ... 0.00 Bohr magnetons per cell

The structure in POSCAR format:
```
AcSmH6Ir2
1.0
3.9393 -4.9238 0.0000
3.9393 4.9238 0.0000
-2.4770 0.0000 6.2341
Ac Sm H Ir
2 2 12 4
Direct
0.1452 0.8548 0.7500 Ac
0.8548 0.1452 0.2500 Ac
0.4073 0.5927 0.2500 Sm
0.5927 0.4073 0.7500 Sm
0.0823 0.5704 0.3831 H
0.1638 0.2279 0.0129 H
0.2279 0.1638 0.5129 H
0.3060 0.5385 0.8760 H
0.4296 0.9177 0.1169 H
0.4615 0.6940 0.6240 H
0.5385 0.3060 0.3760 H
0.5704 0.0823 0.8831 H
0.6940 0.4615 0.1240 H
0.7721 0.8362 0.4871 H
0.8362 0.7721 0.9871 H
0.9177 0.4296 0.6169 H
0.0526 0.3322 0.8143 Ir
0.3322 0.0526 0.3143 Ir
0.6678 0.9474 0.6857 Ir
0.9474 0.6678 0.1857 Ir
```

=====

Entry from Alexandria: crystalline AcSnH8Ir2 at its relaxed geometry (GGA-PBE).

VASP energy ... -4.443 eV per atom
Fermi-level density of states ... 0.332 states/eV per atom
Total magnetic moment ... 0.00 Bohr magnetons per cell

The structure in POSCAR format:
```
AcSnH8Ir2
1.0
2.4891 1.4371 6.1750
-2.4891 1.4371 6.1750
0.0000 -2.8742 6.1750
Ac Sn H Ir
1 1 8 2
Direct
0.0000 0.0000 0.0000 Ac
0.5000 0.5000 0.5000 Sn
0.0269 0.0269 0.6021 H
0.0269 0.6021 0.0269 H
0.3129 0.3129 0.3129 H
0.3979 0.9731 0.9731 H
0.6021 0.0269 0.0269 H
0.6871 0.6871 0.6871 H
0.9731 0.3979 0.9731 H
0.9731 0.9731 0.3979 H
0.2248 0.2248 0.2248 Ir
0.7752 0.7752 0.7752 Ir
```

=====

Entry from Alexandria: crystalline AcSnHIr2 at its relaxed geometry (GGA-PBE).

VASP energy ... -6.227 eV per atom
Fermi-level density of states ... 0.510 states/eV per atom
Total magnetic moment ... 0.00 Bohr magnetons per cell

The structure in POSCAR format:
```
AcSnHIr2
1.0
2.1258 -5.8979 0.0000
2.1258 5.8979 0.0000
0.0000 0.0000 7.4342
Ac Sn H Ir
2 2 2 4
Direct
0.0600 0.9400 0.7500 Ac
0.9400 0.0600 0.2500 Ac
0.2224 0.7776 0.2500 Sn
0.7776 0.2224 0.7500 Sn
0.5000 0.5000 0.0000 H
0.5000 0.5000 0.5000 H
0.3498 0.6502 0.5550 Ir
0.3498 0.6502 0.9450 Ir
0.6502 0.3498 0.0550 Ir
0.6502 0.3498 0.4450 Ir
```